No. 1
La6CuOs2I3 after structural relaxation, computed with PBE-GGA.

```
data_La6CuOs2I3
_space_group_name_H-M_alt 'C 1 2/m 1'
_space_group_IT_number 12
_space_group_name_Hall '-C 2y'
_cell_length_a 7.3890
_cell_length_b 12.8026
_cell_length_c 8.6468
_cell_angle_alpha 90.00
_cell_angle_beta 106.53
_cell_angle_gamma 90.00
loop_
_atom_site_label
_atom_site_type_symbol
_atom_site_fract_x
_atom_site_fract_y
_atom_site_fract_z
La1 La 0.2111 0.0000 0.1863
La2 La 0.2379 0.3244 0.1869
Cu1 Cu 0.0000 0.5000 0.0000
Os1 Os 0.0000 0.1667 0.0000
I1 I 0.0000 0.0000 0.5000
I2 I 0.0000 0.3347 0.5000
```

No. 2
La4CuOsI2 after structural relaxation, computed with PBE-GGA.

```
data_La4CuOsI2
_space_group_name_H-M_alt 'P 1 2/m 1'
_space_group_IT_number 10
_space_group_name_Hall '-P 2y'
_cell_length_a 7.3658
_cell_length_b 4.3077
_cell_length_c 8.6253
_cell_angle_alpha 90.00
_cell_angle_beta 106.66
_cell_angle_gamma 90.00
loop_
_atom_site_label
_atom_site_type_symbol
_atom_site_fract_x
_atom_site_fract_y
_atom_site_fract_z
La1 La 0.2194 0.0000 0.1875
La2 La 0.2532 0.5000 0.8121
Cu1 Cu 0.5000 0.0000 0.0000
Os1 Os 0.0000 0.5000 0.0000
I1 I 0.0000 0.0000 0.5000
I2 I 0.5000 0.5000 0.5000
```

No. 3
LaCuPI after structural relaxation, computed with PBE-GGA.

```
data_LaCuPI
_space_group_name_H-M_alt 'R -3 m'
_space_group_IT_number 166
_space_group_name_Hall '-R 3 2"'
_cell_length_a 4.1902
_cell_length_b 4.1902
_cell_length_c 44.1906
_cell_angle_alpha 90.00
_cell_angle_beta 90.00
_cell_angle_gamma 120.00
loop_
_atom_site_label
_atom_site_type_symbol
_atom_site_fract_x
_atom_site_fract_y
_atom_site_fract_z
La1 La 0.0000 0.0000 0.0698
Cu1 Cu 0.0000 0.0000 0.3132
P1 P 0.0000 0.0000 0.3674
I1 I 0.0000 0.0000 0.2130
```

No. 4
La4CuPI2 after structural relaxation, computed with PBE-GGA.

```
data_La4CuPI2
_space_group_name_H-M_alt 'P 1 2/m 1'
_space_group_IT_number 10
_space_group_name_Hall '-P 2y'
_cell_length_a 7.6222
_cell_length_b 4.2262
_cell_length_c 8.2125
_cell_angle_alpha 90.00
_cell_angle_beta 107.03
_cell_angle_gamma 90.00
loop_
_atom_site_label
_atom_site_type_symbol
_atom_site_fract_x
_atom_site_fract_y
_atom_site_fract_z
La1 La 0.2225 0.0000 0.2012
La2 La 0.2683 0.5000 0.8009
Cu1 Cu 0.5000 0.0000 0.0000
P1 P 0.0000 0.5000 0.0000
I1 I 0.0000 0.0000 0.5000
I2 I 0.5000 0.5000 0.5000
```

No. 5
La2CuPdI after structural relaxation, computed with PBE-GGA.

```
data_La2CuPdI
_space_group_name_H-M_alt 'P 4/m m m'
_space_group_IT_number 123
_space_group_name_Hall '-P 4 2'
_cell_length_a 5.5581
_cell_length_b 5.5581
_cell_length_c 4.9656
_cell_angle_alpha 90.00
_cell_angle_beta 90.00
_cell_angle_gamma 90.00
loop_
_atom_site_label
_atom_site_type_symbol
_atom_site_fract_x
_atom_site_fract_y
_atom_site_fract_z
La1 La 0.0000 0.5000 0.0000
Cu1 Cu 0.0000 0.0000 0.0000
Pd1 Pd 0.5000 0.5000 0.5000
I1 I 0.0000 0.0000 0.5000
```

No. 6
La6CuPd2I3 after structural relaxation, computed with PBE-GGA.

```
data_La6CuPd2I3
_space_group_name_H-M_alt 'C 1 2/m 1'
_space_group_IT_number 12
_space_group_name_Hall '-C 2y'
_cell_length_a 7.4989
_cell_length_b 12.9909
_cell_length_c 8.5153
_cell_angle_alpha 90.00
_cell_angle_beta 107.07
_cell_angle_gamma 90.00
loop_
_atom_site_label
_atom_site_type_symbol
_atom_site_fract_x
_atom_site_fract_y
_atom_site_fract_z
La1 La 0.2321 0.0000 0.1957
La2 La 0.2316 0.3335 0.1956
Cu1 Cu 0.0000 0.5000 0.0000
Pd1 Pd 0.0000 0.1667 0.0000
I1 I 0.0000 0.0000 0.5000
I2 I 0.0000 0.3338 0.5000
```

No. 7
La2CuPdI after structural relaxation, computed with PBE-GGA.

```
data_La2CuPdI
_space_group_name_H-M_alt 'P 4/m m m'
_space_group_IT_number 123
_space_group_name_Hall '-P 4 2'
_cell_length_a 5.9225
_cell_length_b 5.9225
_cell_length_c 4.7003
_cell_angle_alpha 90.00
_cell_angle_beta 90.00
_cell_angle_gamma 90.00
loop_
_atom_site_label
_atom_site_type_symbol
_atom_site_fract_x
_atom_site_fract_y
_atom_site_fract_z
La1 La 0.0000 0.5000 0.0000
Cu1 Cu 0.0000 0.0000 0.5000
Pd1 Pd 0.5000 0.5000 0.5000
I1 I 0.0000 0.0000 0.0000
```

No. 8
La6CuPt2I3 after structural relaxation, computed with PBE-GGA.

```
data_La6CuPt2I3
_space_group_name_H-M_alt 'C 1 2/m 1'
_space_group_IT_number 12
_space_group_name_Hall '-C 2y'
_cell_length_a 7.5065
_cell_length_b 13.0047
_cell_length_c 8.5777
_cell_angle_alpha 90.00
_cell_angle_beta 106.96
_cell_angle_gamma 90.00
loop_
_atom_site_label
_atom_site_type_symbol
_atom_site_fract_x
_atom_site_fract_y
_atom_site_fract_z
La1 La 0.2253 0.0000 0.1906
La2 La 0.2328 0.3308 0.1909
Cu1 Cu 0.0000 0.5000 0.0000
Pt1 Pt 0.0000 0.1668 0.0000
I1 I 0.0000 0.0000 0.5000
I2 I 0.0000 0.3349 0.5000
```

No. 9
La8Cu3PtI4 after structural relaxation, computed with PBE-GGA.

```
data_La8Cu3PtI4
_space_group_name_H-M_alt 'R -3 m'
_space_group_IT_number 166
_space_group_name_Hall '-R 3 2"'
_cell_length_a 8.6403
_cell_length_b 8.6403
_cell_length_c 24.0178
_cell_angle_alpha 90.00
_cell_angle_beta 90.00
_cell_angle_gamma 120.00
loop_
_atom_site_label
_atom_site_type_symbol
_atom_site_fract_x
_atom_site_fract_y
_atom_site_fract_z
La1 La 0.0000 0.0000 0.2354
La2 La 0.0035 0.5018 0.2335
Cu1 Cu 0.0000 0.5000 0.5000
Pt1 Pt 0.0000 0.0000 0.5000
I1 I 0.0000 0.0000 0.0000
I2 I 0.0000 0.5000 0.0000
```

No. 10
Rb2LaCuI6 after structural relaxation, computed with PBE-GGA.

```
data_Rb2LaCuI6
_space_group_name_H-M_alt 'P 1 21/c 1'
_space_group_IT_number 14
_space_group_name_Hall '-P 2ybc'
_cell_length_a 8.7976
_cell_length_b 9.7407
_cell_length_c 13.8904
_cell_angle_alpha 90.00
_cell_angle_beta 128.74
_cell_angle_gamma 90.00
loop_
_atom_site_label
_atom_site_type_symbol
_atom_site_fract_x
_atom_site_fract_y
_atom_site_fract_z
Rb1 Rb 0.2204 0.0940 0.2457
La1 La 0.0000 0.0000 0.5000
Cu1 Cu 0.5000 0.0000 0.0000
I1 I 0.1220 0.2207 0.9503
I2 I 0.2476 0.6674 0.9484
I3 I 0.3898 0.0291 0.7880
```

No. 11
RbLaCuI5 after structural relaxation, computed with PBE-GGA.

```
data_RbLaCuI5
_space_group_name_H-M_alt 'C 1 2/c 1'
_space_group_IT_number 15
_space_group_name_Hall '-C 2yc'
_cell_length_a 10.2830
_cell_length_b 13.6067
_cell_length_c 11.6981
_cell_angle_alpha 90.00
_cell_angle_beta 113.71
_cell_angle_gamma 90.00
loop_
_atom_site_label
_atom_site_type_symbol
_atom_site_fract_x
_atom_site_fract_y
_atom_site_fract_z
Rb1 Rb 0.0000 0.1379 0.2500
La1 La 0.0000 0.5000 0.0000
Cu1 Cu 0.0000 0.1881 0.7500
I1 I 0.0000 0.4079 0.2500
I2 I 0.1181 0.2939 0.6280
I3 I 0.1851 0.0779 0.9296
```

No. 12
RbLaCuI6 after structural relaxation, computed with PBE-GGA.

```
data_RbLaCuI6
_space_group_name_H-M_alt 'P 1'
_space_group_IT_number 1
_space_group_name_Hall 'P 1'
_cell_length_a 7.4970
_cell_length_b 7.4985
_cell_length_c 8.3161
_cell_angle_alpha 97.12
_cell_angle_beta 97.21
_cell_angle_gamma 107.43
loop_
_atom_site_label
_atom_site_type_symbol
_atom_site_fract_x
_atom_site_fract_y
_atom_site_fract_z
Rb1 Rb 0.0000 0.0000 0.0000
La1 La 0.3677 0.6322 0.5007
Cu1 Cu 0.7305 0.2678 0.5008
I1 I 0.0576 0.5719 0.1999
I2 I 0.0767 0.3106 0.6517
I3 I 0.4302 0.9416 0.8022
I4 I 0.4868 0.3220 0.2710
I5 I 0.6774 0.5118 0.7306
I6 I 0.6888 0.9229 0.3492
```

No. 13
Rb2LaCuI6 after structural relaxation, computed with PBE-GGA.

```
data_Rb2LaCuI6
_space_group_name_H-M_alt 'I 4/m m m'
_space_group_IT_number 139
_space_group_name_Hall '-I 4 2'
_cell_length_a 8.8397
_cell_length_b 8.8397
_cell_length_c 11.5052
_cell_angle_alpha 90.00
_cell_angle_beta 90.00
_cell_angle_gamma 90.00
loop_
_atom_site_label
_atom_site_type_symbol
_atom_site_fract_x
_atom_site_fract_y
_atom_site_fract_z
Rb1 Rb 0.0000 0.5000 0.2500
La1 La 0.0000 0.0000 0.0000
Cu1 Cu 0.0000 0.0000 0.5000
I1 I 0.0000 0.0000 0.2737
I2 I 0.2482 0.2482 0.5000
```

No. 14
LaCu2RhI after structural relaxation, computed with PBE-GGA.

```
data_LaCu2RhI
_space_group_name_H-M_alt 'P 4/m m m'
_space_group_IT_number 123
_space_group_name_Hall '-P 4 2'
_cell_length_a 4.7598
_cell_length_b 4.7598
_cell_length_c 5.1624
_cell_angle_alpha 90.00
_cell_angle_beta 90.00
_cell_angle_gamma 90.00
loop_
_atom_site_label
_atom_site_type_symbol
_atom_site_fract_x
_atom_site_fract_y
_atom_site_fract_z
La1 La 0.0000 0.0000 0.0000
Cu1 Cu 0.0000 0.5000 0.5000
Rh1 Rh 0.5000 0.5000 0.5000
I1 I 0.5000 0.5000 0.0000
```

No. 15
La8CuRh3I4 after structural relaxation, computed with PBE-GGA.

```
data_La8CuRh3I4
_space_group_name_H-M_alt 'R -3 m'
_space_group_IT_number 166
_space_group_name_Hall '-R 3 2"'
_cell_length_a 8.5356
_cell_length_b 8.5356
_cell_length_c 24.8107
_cell_angle_alpha 90.00
_cell_angle_beta 90.00
_cell_angle_gamma 120.00
loop_
_atom_site_label
_atom_site_type_symbol
_atom_site_fract_x
_atom_site_fract_y
_atom_site_fract_z
La1 La 0.0000 0.0000 0.2294
La2 La 0.0079 0.5040 0.7714
Cu1 Cu 0.0000 0.0000 0.5000
Rh1 Rh 0.0000 0.5000 0.5000
I1 I 0.0000 0.0000 0.0000
I2 I 0.0000 0.5000 0.0000
```

No. 16
La8CuS3I4 after structural relaxation, computed with PBE-GGA.

```
data_La8CuS3I4
_space_group_name_H-M_alt 'R -3 m'
_space_group_IT_number 166
_space_group_name_Hall '-R 3 2"'
_cell_length_a 8.4783
_cell_length_b 8.4783
_cell_length_c 23.5660
_cell_angle_alpha 90.00
_cell_angle_beta 90.00
_cell_angle_gamma 120.00
loop_
_atom_site_label
_atom_site_type_symbol
_atom_site_fract_x
_atom_site_fract_y
_atom_site_fract_z
La1 La 0.0000 0.0000 0.2308
La2 La 0.0072 0.5036 0.7676
Cu1 Cu 0.0000 0.0000 0.5000
S1 S 0.0000 0.5000 0.5000
I1 I 0.0000 0.0000 0.0000
I2 I 0.0000 0.5000 0.0000
```

No. 17
La6CuSi2I3 after structural relaxation, computed with PBE-GGA.

```
data_La6CuSi2I3
_space_group_name_H-M_alt 'C 1 2/m 1'
_space_group_IT_number 12
_space_group_name_Hall '-C 2y'
_cell_length_a 7.6521
_cell_length_b 13.2483
_cell_length_c 8.1256
_cell_angle_alpha 90.00
_cell_angle_beta 108.43
_cell_angle_gamma 90.00
loop_
_atom_site_label
_atom_site_type_symbol
_atom_site_fract_x
_atom_site_fract_y
_atom_site_fract_z
La1 La 0.2312 0.0000 0.2076
La2 La 0.2363 0.3318 0.2053
Cu1 Cu 0.0000 0.5000 0.0000
Si1 Si 0.0000 0.1661 0.0000
I1 I 0.0000 0.0000 0.5000
I2 I 0.0000 0.3308 0.5000
```

No. 18
La6CuTc2I3 after structural relaxation, computed with PBE-GGA.

```
data_La6CuTc2I3
_space_group_name_H-M_alt 'C 1 2/m 1'
_space_group_IT_number 12
_space_group_name_Hall '-C 2y'
_cell_length_a 7.3699
_cell_length_b 12.7739
_cell_length_c 8.6747
_cell_angle_alpha 90.00
_cell_angle_beta 106.45
_cell_angle_gamma 90.00
loop_
_atom_site_label
_atom_site_type_symbol
_atom_site_fract_x
_atom_site_fract_y
_atom_site_fract_z
La1 La 0.2071 0.0000 0.1877
La2 La 0.2408 0.3226 0.1894
Cu1 Cu 0.0000 0.5000 0.0000
Tc1 Tc 0.0000 0.1665 0.0000
I1 I 0.0000 0.0000 0.5000
I2 I 0.0000 0.3342 0.5000
```

No. 19
LaCuTeI2 after structural relaxation, computed with PBE-GGA.

```
data_LaCuTeI2
_space_group_name_H-M_alt 'P 4/m m m'
_space_group_IT_number 123
_space_group_name_Hall '-P 4 2'
_cell_length_a 6.2078
_cell_length_b 6.2078
_cell_length_c 6.3120
_cell_angle_alpha 90.00
_cell_angle_beta 90.00
_cell_angle_gamma 90.00
loop_
_atom_site_label
_atom_site_type_symbol
_atom_site_fract_x
_atom_site_fract_y
_atom_site_fract_z
La1 La 0.0000 0.0000 0.0000
Cu1 Cu 0.5000 0.5000 0.5000
Te1 Te 0.0000 0.0000 0.5000
I1 I 0.0000 0.5000 0.0000
```

No. 20
LaCuTeI2 after structural relaxation, computed with PBE-GGA.

```
data_LaCuTeI2
_space_group_name_H-M_alt 'P 4/m m m'
_space_group_IT_number 123
_space_group_name_Hall '-P 4 2'
_cell_length_a 5.2968
_cell_length_b 5.2968
_cell_length_c 5.5458
_cell_angle_alpha 90.00
_cell_angle_beta 90.00
_cell_angle_gamma 90.00
loop_
_atom_site_label
_atom_site_type_symbol
_atom_site_fract_x
_atom_site_fract_y
_atom_site_fract_z
La1 La 0.0000 0.0000 0.0000
Cu1 Cu 0.5000 0.5000 0.5000
Te1 Te 0.5000 0.5000 0.0000
I1 I 0.0000 0.5000 0.5000
```

Respective final energy values: -5.790; -5.457; -5.067; -5.037; -4.063; -4.869; -3.858; -5.193; -4.713; -3.221; -3.363; -3.135; -3.185; -4.368; -5.422; -5.235; -4.940; -5.487; -3.309; -3.543 eV per atom.
Respective formation energy without anion corrections values: -0.73; -0.69; -1.07; -1.00; 0.08; -0.81; 0.28; -0.99; -0.72; -1.20; -1.14; -0.99; -1.16; 0.04; -0.94; -1.35; -0.84; -0.57; -0.26; -0.49 eV/atom.